{"formula": "Mg2ScIr2", "functional": "PBE", "state": "optimized geometry", "cell": [[7.461, 0.000, 0.000], [0.000, 7.461, 0.000], [0.000, 0.000, 3.017]], "species": ["Mg", "Mg", "Mg", "Mg", "Sc", "Sc", "Ir", "Ir", "Ir", "Ir"], "fractional_positions": [[0.123, 0.377, 0.000], [0.377, 0.877, 0.000], [0.623, 0.123, 0.000], [0.877, 0.623, 0.000], [0.000, 0.000, 0.000], [0.500, 0.500, 0.000], [0.177, 0.677, 0.500], [0.323, 0.177, 0.500], [0.677, 0.823, 0.500], [0.823, 0.323, 0.500]], "dos_ef_per_ev_cell": 4.0, "total_magnetization_mub_per_atom": 0.00, "ef_mev_per_atom": -385.8, "mass_density_g_cm3": 9.5, "volume_a3_per_cell": 168.0}